(1)
{
  "formula": "SrPmSnBi",
  "functional": "PBE",
  "state": "optimized geometry",
  "crystal_system": "cubic",
  "energy_ev_per_cell": -16.582,
  "dos_at_fermi_per_ev_cell": 4.974,
  "lattice": [[-3.195, 4.690, 0.076], [-3.362, 1.215, -4.408], [-5.635, -0.414, 0.530]],
  "species": ["Sn", "Bi", "Pm", "Sr"],
  "fractional_positions": [[0.250, 0.250, 0.250], [0.750, 0.750, 0.750], [0.000, 0.000, 0.000], [0.500, 0.500, 0.500]]
}

---

(2)
{
  "formula": "IrBrCl2",
  "functional": "PBE",
  "state": "optimized geometry",
  "formation_energy_uncorrected_ev_per_atom": 0.2141,
  "crystal_system": "orthorhombic",
  "energy_ev_per_cell": -13.371,
  "dos_at_fermi_per_ev_cell": 2.887,
  "de_polymorph_mev_per_atom": 621,
  "lattice": [[7.303, 0.425, -0.008], [4.720, 5.589, 0.008], [-5.508, -4.014, 2.658]],
  "species": ["Br", "Ir", "Cl", "Cl"],
  "fractional_positions": [[0.357, 0.857, 0.500], [0.503, 0.503, 0.000], [0.003, 0.003, 0.000], [0.636, 0.136, 0.500]]
}

---

(3)
{
  "formula": "ZrAlV2C",
  "functional": "PBE",
  "state": "optimized geometry",
  "crystal_system": "tetragonal",
  "energy_ev_per_cell": -41.356,
  "dos_at_fermi_per_ev_cell": 4.301,
  "lattice": [[4.011, 0.000, 0.000], [0.000, 4.011, 0.000], [0.000, 0.000, 4.547]],
  "species": ["C", "V", "V", "Zr", "Al"],
  "fractional_positions": [[0.000, 0.000, 0.000], [0.000, 0.500, 0.000], [0.500, 0.000, 0.000], [0.000, 0.000, 0.500], [0.500, 0.500, 0.500]]
}

---

(4)
{
  "formula": "Na2YMg3F12",
  "functional": "PBE",
  "state": "optimized geometry",
  "formation_energy_uncorrected_ev_per_atom": -3.1956,
  "crystal_system": "trigonal",
  "energy_ev_per_cell": -93.863,
  "dos_at_fermi_per_ev_cell": 7.221,
  "lattice": [[6.705, -0.347, -0.246], [3.009, 6.002, -0.246], [3.009, 1.752, 5.746]],
  "species": ["F", "F", "Y", "Na", "F", "F", "F", "F", "F", "F", "F", "F", "F", "Na", "F", "Mg", "Mg", "Mg"],
  "fractional_positions": [[0.404, 0.854, 0.854], [0.892, 0.259, 0.259], [0.000, 0.000, 0.000], [0.374, 0.374, 0.374], [0.854, 0.404, 0.854], [0.596, 0.146, 0.146], [0.259, 0.259, 0.892], [0.741, 0.108, 0.741], [0.146, 0.596, 0.146], [0.259, 0.892, 0.259], [0.741, 0.741, 0.108], [0.854, 0.854, 0.404], [0.108, 0.741, 0.741], [0.626, 0.626, 0.626], [0.146, 0.146, 0.596], [0.500, 0.000, 0.000], [0.000, 0.000, 0.500], [0.000, 0.500, 0.000]]
}

---

(5)
{
  "formula": "MgPtBr2",
  "functional": "PBE",
  "state": "optimized geometry",
  "formation_energy_uncorrected_ev_per_atom": -0.6654,
  "crystal_system": "monoclinic",
  "energy_ev_per_cell": -13.643,
  "de_polymorph_mev_per_atom": 0,
  "lattice": [[7.436, 0.058, -0.022], [6.529, 3.559, -0.022], [0.260, 0.067, 4.350]],
  "species": ["Mg", "Br", "Pt", "Br"],
  "fractional_positions": [[0.250, 0.250, 0.250], [0.612, 0.612, 0.455], [0.750, 0.750, 0.750], [0.888, 0.888, 0.045]]
}

---

(6)
{
  "formula": "ZnIn2Pt2",
  "functional": "PBE",
  "state": "optimized geometry",
  "crystal_system": "tetragonal",
  "energy_ev_per_cell": -19.195,
  "dos_at_fermi_per_ev_cell": 2.706,
  "lattice": [[-2.661, 2.856, 0.241], [-2.411, -2.053, -2.294], [-5.249, -2.593, 4.504]],
  "species": ["Pt", "In", "Zn", "In", "Pt"],
  "fractional_positions": [[0.250, 0.750, 0.500], [0.608, 0.608, 0.784], [0.000, 0.000, 0.000], [0.392, 0.392, 0.216], [0.750, 0.250, 0.500]]
}

---

(7)
{
  "formula": "LiTaInMo2",
  "functional": "PBE",
  "state": "optimized geometry",
  "crystal_system": "tetragonal",
  "energy_ev_per_cell": -31.065,
  "dos_at_fermi_per_ev_cell": 5.168,
  "lattice": [[4.764, 0.000, 0.000], [0.000, 4.779, 0.000], [0.000, 0.000, 4.764]],
  "species": ["Mo", "In", "Li", "Mo", "Ta"],
  "fractional_positions": [[0.500, 0.000, 0.000], [0.500, 0.500, 0.500], [0.000, 0.500, 0.000], [0.000, 0.000, 0.500], [0.000, 0.000, 0.000]]
}

---

(8)
{
  "formula": "LaTa2Re2",
  "functional": "PBE",
  "state": "optimized geometry",
  "crystal_system": "tetragonal",
  "energy_ev_per_cell": -104.987,
  "dos_at_fermi_per_ev_cell": 7.250,
  "de_polymorph_mev_per_atom": 189,
  "lattice": [[8.045, 0.000, 0.000], [0.000, 8.045, 0.000], [0.000, 0.000, 3.042]],
  "species": ["Ta", "Ta", "Ta", "La", "La", "Re", "Re", "Ta", "Re", "Re"],
  "fractional_positions": [[0.860, 0.360, 0.500], [0.360, 0.140, 0.500], [0.640, 0.860, 0.500], [0.000, 0.000, 0.000], [0.500, 0.500, 0.000], [0.854, 0.646, 0.000], [0.146, 0.354, 0.000], [0.140, 0.640, 0.500], [0.646, 0.146, 0.000], [0.354, 0.854, 0.000]]
}

---

(9)
{
  "formula": "NdSmCoCu",
  "functional": "PBE",
  "state": "optimized geometry",
  "crystal_system": "cubic",
  "energy_ev_per_cell": -20.951,
  "dos_at_fermi_per_ev_cell": 4.139,
  "de_polymorph_mev_per_atom": 54,
  "lattice": [[4.952, 0.000, 0.000], [2.476, 4.288, 0.000], [2.476, 1.429, 4.043]],
  "species": ["Cu", "Co", "Sm", "Nd"],
  "fractional_positions": [[0.250, 0.250, 0.250], [0.750, 0.750, 0.750], [0.000, 0.000, 0.000], [0.500, 0.500, 0.500]]
}

---

(10)
{
  "formula": "Pr2Al4CdPd3",
  "functional": "PBE",
  "state": "optimized geometry",
  "crystal_system": "tetragonal",
  "energy_ev_per_cell": -48.145,
  "dos_at_fermi_per_ev_cell": 8.373,
  "lattice": [[4.344, 0.000, 0.000], [0.000, 4.344, 0.000], [0.000, 0.000, 10.774]],
  "species": ["Al", "Pr", "Pd", "Pd", "Pr", "Al", "Al", "Al", "Pd", "Cd"],
  "fractional_positions": [[0.500, 0.500, 0.000], [0.500, 0.000, 0.241], [0.000, 0.000, 0.500], [0.500, 0.000, 0.875], [0.000, 0.500, 0.759], [0.000, 0.500, 0.356], [0.000, 0.000, 0.000], [0.500, 0.000, 0.644], [0.000, 0.500, 0.125], [0.500, 0.500, 0.500]]
}

---

(11)
{
  "formula": "TbSmCu4",
  "functional": "PBE",
  "state": "optimized geometry",
  "crystal_system": "cubic",
  "energy_ev_per_cell": -26.542,
  "dos_at_fermi_per_ev_cell": 3.301,
  "de_polymorph_mev_per_atom": 116,
  "lattice": [[5.297, 0.000, 0.000], [2.649, 4.588, 0.000], [2.649, 1.529, 4.325]],
  "species": ["Tb", "Sm", "Cu", "Cu", "Cu", "Cu"],
  "fractional_positions": [[0.000, 0.000, 0.000], [0.250, 0.250, 0.250], [0.625, 0.124, 0.625], [0.625, 0.625, 0.124], [0.625, 0.625, 0.625], [0.124, 0.625, 0.625]]
}

---

(12)
{
  "formula": "AsRu2W",
  "functional": "PBE",
  "state": "optimized geometry",
  "crystal_system": "orthorhombic",
  "energy_ev_per_cell": -35.228,
  "dos_at_fermi_per_ev_cell": 3.490,
  "lattice": [[2.932, 0.000, 0.000], [0.000, 4.550, 0.000], [0.000, 0.000, 4.441]],
  "species": ["W", "Ru", "As", "Ru"],
  "fractional_positions": [[0.500, 0.000, 0.500], [0.500, 0.500, 0.000], [0.000, 0.500, 0.500], [0.000, 0.000, 0.000]]
}

---

Question: Which formula does entry 11 have?
Answer: TbSmCu4